Li5Fe3Ni2O10 after structural relaxation, computed with PBE with a Hubbard U. Values from VASP.

Structure (Quantum ESPRESSO input):
```
&SYSTEM
  ibrav = 0, nat = 20, ntyp = 4
/
ATOMIC_SPECIES
Li 6.94 Li.upf
Fe 55.84 Fe.upf
Ni 58.69 Ni.upf
O 16.00 O.upf
CELL_PARAMETERS angstrom
5.090 0.000 0.000
-0.884 5.091 0.000
-1.812 -2.759 7.055
ATOMIC_POSITIONS crystal
Li 0.000 0.000 0.000
Li 0.127 0.214 0.730
Li 0.298 0.592 0.084
Li 0.702 0.408 0.916
Li 0.873 0.786 0.270
Fe 0.191 0.395 0.388
Fe 0.500 0.000 0.500
Fe 0.809 0.605 0.612
Ni 0.401 0.806 0.809
Ni 0.599 0.194 0.191
O 0.067 0.601 0.838
O 0.163 0.786 0.567
O 0.276 0.027 0.264
O 0.366 0.192 0.966
O 0.457 0.379 0.635
O 0.543 0.621 0.365
O 0.634 0.808 0.034
O 0.724 0.973 0.736
O 0.837 0.214 0.433
O 0.933 0.399 0.162
```

The value obtained for the electronic total energy is -110.627 eV/cell.